Entry 1:
Crystalline Mg5ScHg3 at its relaxed geometry. Source: the Alexandria database, functional GGA-PBE.

Properties
As for the energy relative to the elements: -0.24 eV per atom. Its space group is P6_3/mcm (193). The calculation puts the density at 6.6 g cm⁻³.

```
Mg5ScHg3
1.0
8.5059 0.0000 0.0000
-4.2529 7.3663 0.0000
0.0000 0.0000 6.1669
Mg Sc Hg
10 2 6
Direct
0.0000 0.3437 0.2500
0.0000 0.6563 0.7500
0.3333 0.6667 0.0000
0.3333 0.6667 0.5000
0.3437 0.0000 0.2500
0.3437 0.3437 0.7500
0.6563 0.0000 0.7500
0.6563 0.6563 0.2500
0.6667 0.3333 0.0000
0.6667 0.3333 0.5000
0.0000 0.0000 0.0000
0.0000 0.0000 0.5000
0.0000 0.3212 0.7500
0.0000 0.6788 0.2500
0.3212 0.0000 0.7500
0.3212 0.3212 0.2500
0.6788 0.0000 0.2500
0.6788 0.6788 0.7500
```

---

Entry 2:
Crystalline NaReGePt2 at its relaxed geometry. Source: the Alexandria database, functional GGA-PBE.

Properties
As for the energy relative to the elements: 0.79 eV per atom. Its space group is P4/mmm (123). The calculation puts the density at 10.7 g cm⁻³.

```
NaReGePt2
1.0
4.7196 0.0000 0.0000
0.0000 4.7196 0.0000
0.0000 0.0000 4.6756
Na Re Ge Pt
1 1 1 2
Direct
0.0000 0.0000 0.0000
0.5000 0.5000 0.0000
0.5000 0.5000 0.5000
0.0000 0.5000 0.5000
0.5000 0.0000 0.5000
```

---

Entry 3:
Crystalline NdDyPa at its relaxed geometry. Source: the Alexandria database, functional GGA-PBE.

Properties
The value obtained for the offset from the most stable computed form is 130 meV/atom. As for the energy relative to the elements: 0.28 eV per atom. Its space group is P4/nmm (129). The calculation puts the density at 9.6 g cm⁻³.

```
NdDyPa
1.0
4.6675 0.0000 0.0000
0.0000 4.6675 0.0000
0.0000 0.0000 8.5454
Nd Dy Pa
2 2 2
Direct
0.2500 0.2500 0.1964
0.7500 0.7500 0.8036
0.2500 0.2500 0.7834
0.7500 0.7500 0.2166
0.2500 0.7500 0.5000
0.7500 0.2500 0.5000
```